! TlIrWO6 PBE with a Hubbard U optimized geometry; values from VASP
&SYSTEM
  ibrav = 0, nat = 18, ntyp = 4
/
ATOMIC_SPECIES
Tl 204.38 Tl.upf
Ir 192.22 Ir.upf
W 183.84 W.upf
O 16.00 O.upf
CELL_PARAMETERS angstrom
-3.590 3.698 5.197
3.590 -3.698 5.197
3.590 3.698 -5.197
ATOMIC_POSITIONS crystal
Tl 0.342 0.092 0.250
Tl 0.658 0.908 0.750
Ir 0.000 0.000 0.500
Ir 0.000 0.500 0.000
W 0.000 0.500 0.500
W 0.500 0.500 0.000
O 0.060 0.428 0.245
O 0.060 0.815 0.633
O 0.069 0.819 0.250
O 0.312 0.562 0.750
O 0.317 0.185 0.745
O 0.317 0.572 0.133
O 0.683 0.428 0.867
O 0.683 0.815 0.255
O 0.688 0.438 0.250
O 0.931 0.181 0.750
O 0.940 0.185 0.367
O 0.940 0.572 0.755
! D(E_F)	4.094	states/eV/f.u.
! energy	-119.28	eV/cell